## LaTmAgBi (PBE)

Data for an optimized crystal structure of LaTmAgBi.

The structure in CIF format:
```
data_LaTmAgBi
_cell_length_a 5.408
_cell_length_b 5.408
_cell_length_c 5.408
_cell_angle_alpha 60.00
_cell_angle_beta 60.00
_cell_angle_gamma 60.00
_space_group_name_H-M_alt 'P 1'
_space_group_IT_number 1
_space_group_name_Hall 'P 1'
loop_
_atom_site_label
_atom_site_type_symbol
_atom_site_fract_x
_atom_site_fract_y
_atom_site_fract_z
La1 La 0.000 0.000 0.000
Tm1 Tm 0.500 0.500 0.500
Ag1 Ag 0.250 0.250 0.250
Bi1 Bi 0.750 0.750 0.750
```

E ... -0.16421 Ha/atom
Calculated volume ... 27.96 Å³ per atom
Space-group type ... F-43m
Crystal system ... cubic